[1]
Compound: CdRe2Os
Source: Alexandria via LeMat-Bulk
Functional: PBE-GGA
Structure: relaxed

Cell and atoms, written as POSCAR:
```
CdRe2Os
1.0
6.328 0.000 0.000
0.000 6.328 0.000
0.000 0.000 6.328
Cd Re Os
4 8 4
Direct
0.000 0.000 0.000 Cd
0.000 0.500 0.500 Cd
0.500 0.000 0.500 Cd
0.500 0.500 0.000 Cd
0.000 0.000 0.500 Re
0.000 0.500 0.000 Re
0.250 0.250 0.250 Re
0.250 0.750 0.750 Re
0.500 0.000 0.000 Re
0.500 0.500 0.500 Re
0.750 0.250 0.750 Re
0.750 0.750 0.250 Re
0.250 0.250 0.750 Os
0.250 0.750 0.250 Os
0.750 0.250 0.250 Os
0.750 0.750 0.750 Os
```

SG: F-43m, No. 216

=====

[2]
Compound: CdRe2Os
Source: Alexandria via LeMat-Bulk
Functional: PBE-GGA
Structure: relaxed

Cell and atoms, written as POSCAR:
```
CdRe2Os
1.0
2.905 0.000 0.000
0.000 4.656 0.000
0.000 0.000 9.535
Cd Re Os
2 4 2
Direct
0.000 0.000 0.000 Cd
0.500 0.500 0.000 Cd
0.000 0.000 0.497 Re
0.000 0.500 0.731 Re
0.500 0.000 0.731 Re
0.500 0.500 0.497 Re
0.000 0.500 0.264 Os
0.500 0.000 0.264 Os
```

SG: Cmm2, No. 35

=====

[3]
Compound: Sc2CdReOs
Source: Alexandria via LeMat-Bulk
Functional: PBE-GGA
Structure: relaxed

Cell and atoms, written as POSCAR:
```
Sc2CdReOs
1.0
5.040 0.000 0.000
0.000 5.040 0.000
0.000 0.000 4.690
Sc Cd Re Os
2 1 1 1
Direct
0.000 0.500 0.000 Sc
0.500 0.000 0.000 Sc
0.000 0.000 0.500 Cd
0.500 0.500 0.000 Re
0.500 0.500 0.500 Os
```

SG: P4/mmm, No. 123

=====

[4]
Compound: Cd2ReSnOs
Source: Alexandria via LeMat-Bulk
Functional: PBE-GGA
Structure: relaxed

Cell and atoms, written as POSCAR:
```
Cd2ReSnOs
1.0
5.165 0.000 0.000
0.000 5.165 0.000
0.000 0.000 4.948
Cd Re Sn Os
2 1 1 1
Direct
0.000 0.500 0.000 Cd
0.500 0.000 0.000 Cd
0.000 0.000 0.500 Re
0.500 0.500 0.000 Sn
0.500 0.500 0.500 Os
```

SG: P4/mmm, No. 123

=====

[5]
Compound: ZnCdRe2Os
Source: Alexandria via LeMat-Bulk
Functional: PBE-GGA
Structure: relaxed

Cell and atoms, written as POSCAR:
```
ZnCdRe2Os
1.0
4.762 0.000 0.000
0.000 4.762 0.000
0.000 0.000 4.762
Zn Cd Re Os
1 1 2 1
Direct
0.000 0.000 0.000 Zn
0.500 0.500 0.000 Cd
0.000 0.500 0.500 Re
0.500 0.000 0.500 Re
0.000 0.000 0.500 Os
```

SG: P4/mmm, No. 123

=====

[6]
Compound: CdOsRh
Source: Alexandria via LeMat-Bulk
Functional: PBE-GGA
Structure: relaxed

Cell and atoms, written as POSCAR:
```
CdOsRh
1.0
2.803 0.000 0.000
0.000 2.803 0.000
0.000 0.000 12.273
Cd Os Rh
2 2 2
Direct
0.000 0.000 0.000 Cd
0.500 0.500 0.500 Cd
0.000 0.000 0.318 Os
0.500 0.500 0.818 Os
0.000 0.000 0.679 Rh
0.500 0.500 0.179 Rh
```

E above lowest polymorph (meV/atom): 0
SG: I4mm, No. 107

=====

no.,energy relative to the elements (eV/atom),volume (Å³/f.u.),E (Ry per atom)
1,0.693,63.4,-0.6297
2,0.519,64.5,-0.6425
3,0.633,119.2,-0.5011
4,2.250,132.0,-0.2685
5,1.594,108.0,-0.4460
6,0.187,48.2,-0.4639